Here is crystalline HfNi2BiSb at its relaxed geometry from Alexandria. Energies are from PBE-GGA.

Properties
Its crystal system is tetragonal. As for the uncorrected formation energy: 4.4 eV/f.u.

Lattice parameters (Å, degrees): 4.5781 5.8876 4.5781 90.00 90.00 90.00
With the nearest neighbours (Å) after each atom.
Atoms (fractional coordinates):
Sb: 0.0000 0.0000 0.0000  4 Ni 2.29
Hf: 0.5000 0.5000 0.5000  4 Bi 3.24
Bi: 0.0000 0.5000 0.0000  2 Sb 2.94, 4 Hf 3.24
Ni: 0.0000 0.0000 0.5000  2 Sb 2.29
Ni: 0.5000 0.0000 0.0000  2 Sb 2.29

Here is crystalline Hf2ZnCrPt at its relaxed geometry from Alexandria. Energies are from PBE-GGA.

Properties
Its crystal system is tetragonal. The calculated formation energy is 473.3 meV/atom.

Lattice parameters (Å, degrees): 4.6242 4.5645 4.6242 90.00 90.00 90.00
With the nearest neighbours (Å) after each atom.
Atoms (fractional coordinates):
Cr: 0.0000 0.0000 0.0000  2 Zn 2.28, 4 Hf 2.31
Zn: 0.0000 0.5000 0.0000  2 Cr 2.28
Hf: 0.0000 0.0000 0.5000  2 Cr 2.31
Hf: 0.5000 0.0000 0.0000  2 Cr 2.31
Pt: 0.5000 0.5000 0.5000  8 Hf 3.25, 4 Zn 3.27

Here is crystalline Rb3PaI6 at its relaxed geometry from Alexandria. Energies are from PBE-GGA.

Properties
Its crystal system is monoclinic. As for the uncorrected formation energy: -12.1 eV/f.u.

Lattice parameters (Å, degrees): 8.7547 9.4083 15.4618 90.00 55.66 90.00
With the nearest neighbours (Å) after each atom.
Atoms (fractional coordinates):
Rb: 0.2151 0.9122 0.2502  6 I 3.74-3.95
Rb: 0.5000 0.5000 0.0000  6 I 3.64-3.69
Rb: 0.7849 0.0878 0.7498  6 I 3.74-3.95
Rb: 0.2151 0.5878 0.7502  6 I 3.74-3.95
Rb: 0.5000 0.0000 0.5000  6 I 3.64-3.69
Rb: 0.7849 0.4122 0.2498  6 I 3.74-3.95
Pa: 0.0000 0.5000 0.5000  6 I 3.17-3.18
Pa: 0.0000 0.0000 0.0000  6 I 3.17-3.18
I: 0.2279 0.1765 0.0652  1 Pa 3.17
I: 0.9087 0.2142 0.4276  1 Pa 3.18
I: 0.6377 0.4520 0.7286  1 Pa 3.18
I: 0.3623 0.5480 0.2714  1 Pa 3.18
I: 0.0913 0.7858 0.5724  1 Pa 3.18
I: 0.7721 0.8235 0.9348  1 Pa 3.17
I: 0.2279 0.3235 0.5652  1 Pa 3.17
I: 0.9087 0.2858 0.9276  1 Pa 3.18
I: 0.6377 0.0480 0.2286  1 Pa 3.18
I: 0.3623 0.9520 0.7714  1 Pa 3.18
I: 0.0913 0.7142 0.0724  1 Pa 3.18
I: 0.7721 0.6765 0.4348  1 Pa 3.17

Here is crystalline CuNi3Pt2 at its relaxed geometry from Alexandria. Energies are from PBE-GGA.

Properties
The calculation puts the offset from the most stable computed form at 0.0000 eV/atom. Its crystal system is monoclinic. The calculated formation energy is -60.1 meV/atom.

Lattice parameters (Å, degrees): 3.6865 6.9561 7.4926 122.47 90.00 105.37
With the nearest neighbours (Å) after each atom.
Atoms (fractional coordinates):
Cu: 0.9169 0.8339 0.0436  7 Pt 2.61-2.71, 4 Ni 2.63-2.68, 1 Cu 2.65
Cu: 0.0831 0.1661 0.9564  7 Pt 2.61-2.71, 4 Ni 2.63-2.68, 1 Cu 2.65
Ni: 0.2511 0.5021 0.3801  5 Pt 2.54-2.63, 6 Ni 2.58-2.68, 1 Cu 2.68
Ni: 0.9199 0.8399 0.5397  8 Ni 2.53-2.68, 3 Pt 2.57-2.58, 1 Cu 2.63
Ni: 0.5810 0.1621 0.6951  6 Ni 2.49-2.61, 3 Pt 2.60, 2 Cu 2.68
Ni: 0.4190 0.8379 0.3049  6 Ni 2.49-2.61, 3 Pt 2.60, 2 Cu 2.68
Ni: 0.0801 0.1601 0.4603  8 Ni 2.53-2.68, 3 Pt 2.57-2.58, 1 Cu 2.63
Ni: 0.7489 0.4979 0.6199  5 Pt 2.54-2.63, 6 Ni 2.58-2.68, 1 Cu 2.68
Pt: 0.4174 0.8348 0.7785  6 Ni 2.54-2.63, 4 Cu 2.61-2.71, 2 Pt 2.71-2.78
Pt: 0.5826 0.1652 0.2215  6 Ni 2.54-2.63, 4 Cu 2.61-2.71, 2 Pt 2.71-2.78
Pt: 0.7542 0.5083 0.1366  6 Ni 2.57-2.79, 3 Cu 2.64-2.65, 3 Pt 2.71
Pt: 0.2458 0.4917 0.8634  6 Ni 2.57-2.79, 3 Cu 2.64-2.65, 3 Pt 2.71

Here is crystalline ZnFePb3 at its relaxed geometry from Alexandria. Energies are from PBE-GGA.

Properties
The calculation puts the offset from the most stable computed form at 0.5396 eV/atom. Its crystal system is cubic. The calculated formation energy is 894.6 meV/atom.

Lattice parameters (Å, degrees): 5.3416 5.3416 5.3416 90.00 90.00 90.00
With the nearest neighbours (Å) after each atom.
Atoms (fractional coordinates):
Pb: 0.0000 0.5000 0.0000  2 Zn 2.67
Pb: 0.0000 0.0000 0.5000  2 Zn 2.67
Pb: 0.5000 0.0000 0.0000  2 Zn 2.67
Zn: 0.0000 0.0000 0.0000  6 Pb 2.67
Fe: 0.5000 0.5000 0.5000  12 Pb 3.78

Here is crystalline AgHgPO2 at its relaxed geometry from Alexandria. Energies are from PBE-GGA.

Properties
The calculation puts the offset from the most stable computed form at 0.0000 eV/atom. Its crystal system is tetragonal. As for the uncorrected formation energy: 3.1 eV/f.u.

Lattice parameters (Å, degrees): 4.0147 4.0147 5.1322 90.00 90.00 90.00
With the nearest neighbours (Å) after each atom.
Atoms (fractional coordinates):
O: 0.0000 0.5000 0.0000  2 Ag 2.01
O: 0.5000 0.0000 0.0000  2 Ag 2.01
P: 0.0000 0.0000 0.5000  2 Ag 2.57, 4 Hg 2.84
Hg: 0.5000 0.5000 0.5000  4 P 2.84
Ag: 0.0000 0.0000 0.0000  4 O 2.01

Here is crystalline Ti4Al at its relaxed geometry from Alexandria. Energies are from PBE-GGA.

Properties
The calculation puts the offset from the most stable computed form at 0.0513 eV/atom. Its crystal system is monoclinic. The calculated formation energy is -106.2 meV/atom.

Lattice parameters (Å, degrees): 4.7855 5.2058 7.4725 65.50 90.00 90.00
With the nearest neighbours (Å) after each atom.
Atoms (fractional coordinates):
Ti: 0.0633 0.4176 0.1967  8 Ti 2.72-3.01, 1 Al 2.78
Ti: 0.5633 0.5824 0.3033  8 Ti 2.72-3.01, 1 Al 2.78
Ti: 0.9367 0.5824 0.8033  8 Ti 2.72-3.01, 1 Al 2.78
Ti: 0.4367 0.4176 0.6967  8 Ti 2.72-3.01, 1 Al 2.78
Ti: 0.9787 0.2008 0.5939  7 Ti 2.72-3.01, 3 Al 2.73-2.90
Ti: 0.4787 0.7992 0.9061  7 Ti 2.72-3.01, 3 Al 2.73-2.90
Ti: 0.0213 0.7992 0.4061  7 Ti 2.72-3.01, 3 Al 2.73-2.90
Ti: 0.5213 0.2008 0.0939  7 Ti 2.72-3.01, 3 Al 2.73-2.90
Al: 0.0000 0.0000 0.0000  8 Ti 2.73-2.90
Al: 0.5000 0.0000 0.5000  8 Ti 2.73-2.90

Here is crystalline Ta2CdAg at its relaxed geometry from Alexandria. Energies are from PBE-GGA.

Properties
Its crystal system is tetragonal. The calculated formation energy is 151.0 meV/atom.

Lattice parameters (Å, degrees): 2.8438 2.8438 9.2037 90.00 90.00 90.00
With the nearest neighbours (Å) after each atom.
Atoms (fractional coordinates):
Cd: 0.5000 0.5000 0.7442  4 Cd 2.84, 4 Ag 3.05, 4 Ta 3.15
Ag: 0.0000 0.0000 0.4955  4 Ag 2.84, 4 Ta 3.00, 4 Cd 3.05
Ta: 0.0000 0.0000 0.0070  8 Ta 2.84-3.03, 4 Cd 3.15
Ta: 0.5000 0.5000 0.2532  8 Ta 2.84-3.03, 4 Ag 3.00

What did the seventh record say?
Here is crystalline Ti4Al at its relaxed geometry from Alexandria. Energies are from PBE-GGA.

Properties
The calculation puts the offset from the most stable computed form at 0.0513 eV/atom. Its crystal system is monoclinic. The calculated formation energy is -106.2 meV/atom.

Lattice parameters (Å, degrees): 4.7855 5.2058 7.4725 65.50 90.00 90.00
With the nearest neighbours (Å) after each atom.
Atoms (fractional coordinates):
Ti: 0.0633 0.4176 0.1967  8 Ti 2.72-3.01, 1 Al 2.78
Ti: 0.5633 0.5824 0.3033  8 Ti 2.72-3.01, 1 Al 2.78
Ti: 0.9367 0.5824 0.8033  8 Ti 2.72-3.01, 1 Al 2.78
Ti: 0.4367 0.4176 0.6967  8 Ti 2.72-3.01, 1 Al 2.78
Ti: 0.9787 0.2008 0.5939  7 Ti 2.72-3.01, 3 Al 2.73-2.90
Ti: 0.4787 0.7992 0.9061  7 Ti 2.72-3.01, 3 Al 2.73-2.90
Ti: 0.0213 0.7992 0.4061  7 Ti 2.72-3.01, 3 Al 2.73-2.90
Ti: 0.5213 0.2008 0.0939  7 Ti 2.72-3.01, 3 Al 2.73-2.90
Al: 0.0000 0.0000 0.0000  8 Ti 2.73-2.90
Al: 0.5000 0.0000 0.5000  8 Ti 2.73-2.90